[1]
The following is a PBE calculation of crystalline CsLiAgSe at its relaxed geometry, from Alexandria via LeMat-Bulk.

Values from the calculation:
Its space group is No. 129. The uncorrected formation energy is -0.679 eV per atom. As for the magnetic moment: 0.0 μB/f.u.

a b c (Å): 4.143 4.143 14.019
angles (deg): 90.00 90.00 90.00
Sites, in units of the cell vectors:
Li  0.750  0.250  0.000
Li  0.250  0.750  0.000
Se  0.250  0.250  0.109
Se  0.750  0.750  0.891
Ag  0.750  0.250  0.500
Ag  0.250  0.750  0.500
Cs  0.250  0.250  0.754
Cs  0.750  0.750  0.246



[2]
The following is a PBE calculation of crystalline CrC2 at its relaxed geometry, from Alexandria via LeMat-Bulk.

Values from the calculation:
Its calculated formation energy is 835 meV per atom. Its space group is No. 63. As for the magnetic moment: 0.4 μB/f.u.

a b c (Å): 6.315 6.315 2.600
angles (deg): 90.00 90.00 154.82
Last column: magnetic moment on the atom in μB.
Sites, in units of the cell vectors:
C  0.468  0.532  0.750  0.00
C  0.532  0.468  0.250  0.00
C  0.749  0.251  0.750  -0.02
C  0.251  0.749  0.250  -0.02
Cr  0.873  0.127  0.250  0.43
Cr  0.127  0.873  0.750  0.43



[3]
The following is a PBE calculation of crystalline Ca8GaPt2 at its relaxed geometry, from Alexandria via LeMat-Bulk.

Values from the calculation:
Its calculated formation energy is -490 meV per atom. Its space group is No. 8. As for the magnetic moment: 0.0 μB/f.u.

a b c (Å): 5.734 8.056 8.056
angles (deg): 111.52 97.89 97.89
Sites, in units of the cell vectors:
Ca  0.803  0.630  0.630
Ca  0.000  0.764  0.242
Ca  0.415  0.940  0.675
Ca  0.584  0.331  0.066
Ca  0.415  0.675  0.940
Ca  0.000  0.242  0.764
Ca  0.196  0.376  0.376
Ca  0.584  0.066  0.331
Pt  0.500  0.318  0.688
Pt  0.500  0.688  0.318
Ga  0.003  0.003  0.003



[4]
The following is a PBE calculation of crystalline Na3SiCl6 at its relaxed geometry, from Alexandria via LeMat-Bulk.

Values from the calculation:
Its space group is No. 69. The uncorrected formation energy is -1.238 eV per atom. As for the magnetic moment: 0.5 μB/f.u.

a b c (Å): 6.490 6.490 7.751
angles (deg): 110.72 110.72 98.90
Last column: magnetic moment on the atom in μB.
Sites, in units of the cell vectors:
Cl  0.665  0.665  0.737  0.03
Cl  0.072  0.072  0.737  0.03
Cl  0.335  0.335  0.263  0.03
Cl  0.237  0.763  0.000  0.03
Cl  0.928  0.928  0.263  0.03
Cl  0.763  0.237  0.000  0.03
Na  0.250  0.750  0.500  0.00
Na  0.500  0.500  0.000  0.00
Na  0.750  0.250  0.500  0.00
Si  0.000  0.000  0.000  0.14



[5]
The following is a PBE calculation of crystalline Tm3SnIr2 at its relaxed geometry, from Alexandria via LeMat-Bulk.

Values from the calculation:
Its calculated formation energy is -833 meV per atom. Its space group is No. 123. As for the magnetic moment: 0.0 μB/f.u.

a b c (Å): 3.317 3.317 11.837
angles (deg): 90.00 90.00 90.00
Sites, in units of the cell vectors:
Ir  0.500  0.500  0.848
Ir  0.500  0.500  0.152
Tm  0.000  0.000  0.707
Tm  0.000  0.000  0.000
Tm  0.000  0.000  0.293
Sn  0.500  0.500  0.500



[6]
The following is a PBE calculation of crystalline Nd5ZrSi4 at its relaxed geometry, from Alexandria via LeMat-Bulk.

Values from the calculation:
Its space group is No. 12. The uncorrected formation energy is -0.416 eV per atom. As for the magnetic moment: 0.0 μB/f.u.

a b c (Å): 4.225 7.732 9.532
angles (deg): 111.10 102.80 90.00
Sites, in units of the cell vectors:
Si  0.998  0.767  0.995
Si  0.674  0.147  0.347
Si  0.002  0.233  0.005
Si  0.326  0.853  0.653
Nd  0.167  0.395  0.334
Nd  0.500  0.500  0.000
Nd  0.837  0.124  0.673
Nd  0.163  0.876  0.327
Nd  0.833  0.605  0.666
Zr  0.500  0.000  0.000